1.
VASP calculation (PBE) on crystalline Pm3ThBi4 at its relaxed geometry.

a = 9.144 Å, b = 12.934 Å, c = 4.582 Å
α = 90.00°, β = 90.00°, γ = 90.00°
Positions (direct):
Pm1 0.000 0.000 0.000
Pm2 0.250 0.250 0.500
Pm3 0.250 0.750 0.500
Pm4 0.500 0.500 0.000
Pm5 0.750 0.250 0.500
Pm6 0.750 0.750 0.500
Th1 0.000 0.500 0.000
Th2 0.500 0.000 0.000
Bi1 0.000 0.250 0.000
Bi2 0.000 0.750 0.000
Bi3 0.249 0.000 0.500
Bi4 0.251 0.500 0.500
Bi5 0.500 0.250 0.000
Bi6 0.500 0.750 0.000
Bi7 0.749 0.500 0.500
Bi8 0.751 0.000 0.500

## Properties
- size of the total moment (μB per atom) = 0.001

2.
VASP calculation (PBE) on crystalline LiReHg3Se4 at its relaxed geometry.

a = 6.366 Å, b = 6.366 Å, c = 6.366 Å
α = 90.00°, β = 90.00°, γ = 90.00°
Positions (direct):
Li1 0.000 0.000 0.000
Re1 0.500 0.500 0.500
Hg1 0.000 0.500 0.500
Hg2 0.500 0.000 0.500
Hg3 0.500 0.500 0.000
Se1 0.251 0.251 0.251
Se2 0.251 0.749 0.749
Se3 0.749 0.251 0.749
Se4 0.749 0.749 0.251

## Properties
- size of the total moment (μB per atom) = 0.538

3.
VASP calculation (PBE) on crystalline HfZnAs2 at its relaxed geometry.

a = 6.678 Å, b = 6.678 Å, c = 6.678 Å
α = 90.00°, β = 90.00°, γ = 90.00°
Positions (direct):
Hf1 0.000 0.000 0.000
Hf2 0.000 0.500 0.500
Hf3 0.500 0.000 0.500
Hf4 0.500 0.500 0.000
Zn1 0.250 0.250 0.750
Zn2 0.250 0.750 0.250
Zn3 0.750 0.250 0.250
Zn4 0.750 0.750 0.750
As1 0.000 0.000 0.500
As2 0.000 0.500 0.000
As3 0.250 0.250 0.250
As4 0.250 0.750 0.750
As5 0.500 0.000 0.000
As6 0.500 0.500 0.500
As7 0.750 0.250 0.750
As8 0.750 0.750 0.250

## Properties
- size of the total moment (μB per atom) = 0.001

4.
VASP calculation (PBE) on crystalline KNaNpTe3 at its relaxed geometry.

a = 8.238 Å, b = 8.238 Å, c = 12.036 Å
α = 90.00°, β = 90.00°, γ = 147.35°
Positions (direct):
K1 0.222 0.778 0.750
K2 0.778 0.222 0.250
Na1 0.062 0.938 0.250
Na2 0.938 0.062 0.750
Np1 0.500 0.500 0.000
Np2 0.500 0.500 0.500
Te1 0.129 0.871 0.023
Te2 0.129 0.871 0.477
Te3 0.445 0.555 0.250
Te4 0.555 0.445 0.750
Te5 0.871 0.129 0.523
Te6 0.871 0.129 0.977

## Properties
- size of the total moment (μB per atom) = 0.500

5.
VASP calculation (PBE) on crystalline GdTeNO at its relaxed geometry.

a = 6.372 Å, b = 7.110 Å, c = 6.423 Å
α = 90.00°, β = 90.00°, γ = 90.00°
Positions (direct):
Gd1 0.101 0.187 0.000
Gd2 0.399 0.187 0.500
Gd3 0.601 0.813 0.000
Gd4 0.899 0.813 0.500
Te1 0.092 0.727 0.955
Te2 0.408 0.727 0.455
Te3 0.592 0.273 0.955
Te4 0.908 0.273 0.455
N1 0.071 0.098 0.651
N2 0.429 0.098 0.151
N3 0.571 0.902 0.651
N4 0.929 0.902 0.151
O1 0.083 0.485 0.093
O2 0.417 0.485 0.593
O3 0.583 0.515 0.093
O4 0.917 0.515 0.593

## Properties
- size of the total moment (μB per atom) = 0.000

6.
VASP calculation (PBE) on crystalline Nd2Y2CF5 at its relaxed geometry.

a = 7.697 Å, b = 7.697 Å, c = 7.155 Å
α = 109.99°, β = 109.99°, γ = 26.81°
Positions (direct):
Nd1 0.001 0.001 0.243
Nd2 0.999 0.999 0.757
Y1 0.334 0.334 0.873
Y2 0.666 0.666 0.127
C1 0.500 0.500 0.000
F1 0.179 0.179 0.913
F2 0.184 0.184 0.337
F3 0.500 0.500 0.500
F4 0.816 0.816 0.663
F5 0.821 0.821 0.087

## Properties
- size of the total moment (μB per atom) = 0.001

7.
VASP calculation (PBE) on crystalline Rb2AgTeO6 at its relaxed geometry.

a = 5.853 Å, b = 5.853 Å, c = 5.853 Å
α = 60.00°, β = 60.00°, γ = 60.00°
Positions (direct):
Rb1 0.250 0.250 0.250
Rb2 0.750 0.750 0.750
Ag1 0.000 0.000 0.000
Te1 0.500 0.500 0.500
O1 0.265 0.265 0.735
O2 0.265 0.735 0.265
O3 0.265 0.735 0.735
O4 0.735 0.265 0.265
O5 0.735 0.265 0.735
O6 0.735 0.735 0.265

8.
VASP calculation (PBE) on crystalline Li2Zn2Ga2CoIr at its relaxed geometry.

a = 4.210 Å, b = 4.210 Å, c = 5.941 Å
α = 90.00°, β = 90.00°, γ = 90.00°
Positions (direct):
Li1 0.000 0.000 0.000
Li2 0.500 0.500 0.500
Zn1 0.000 0.500 0.736
Zn2 0.500 0.000 0.264
Ga1 0.000 0.500 0.261
Ga2 0.500 0.000 0.739
Co1 0.000 0.000 0.500
Ir1 0.500 0.500 0.000

## Properties
- size of the total moment (μB per atom) = 0.003

| no. | DFT total energy (eV per cell) |
| --- | --- |
| 1 | -89.75 |
| 2 | -27.20 |
| 3 | -80.46 |
| 4 | -58.64 |
| 5 | -101.46 |
| 6 | -67.39 |
| 7 | -44.64 |
| 8 | -31.02 |